# 1
Compound: BaIn2FeGe
Source: Alexandria
Functional: GGA-PBE
Structure: relaxed

Cell lengths 5.113, 5.113, 4.771 Å; angles 90.00, 90.00, 90.00 degrees
Site moments in Bohr magnetons follow the coordinates.
Positions (direct):
1 Ge 0.000 0.000 0.500  -0.03
2 In 0.000 0.500 0.000  -0.04
3 In 0.500 0.000 0.000  -0.04
4 Fe 0.000 0.000 0.000  1.42
5 Ba 0.500 0.500 0.500  0.05

formation enthalpy at 0 K	-164	meV per atom
space-group type	No. 123
magnetization	1.41	μB/f.u.

# 2
Compound: BaFeGe2Ir
Source: Alexandria
Functional: GGA-PBE
Structure: relaxed

Cell lengths 4.866, 5.159, 4.866 Å; angles 90.00, 90.00, 90.00 degrees
Site moments in Bohr magnetons follow the coordinates.
Positions (direct):
1 Ir 0.000 0.000 0.000  0.08
2 Ba 0.500 0.500 0.500  -0.06
3 Fe 0.000 0.500 0.000  2.96
4 Ge 0.500 0.000 0.000  0.01
5 Ge 0.000 0.000 0.500  0.03

formation enthalpy at 0 K	90	meV per atom
space-group type	No. 123
magnetization	3.06	μB/f.u.

# 3
Compound: BaNaFeGe2
Source: Alexandria
Functional: GGA-PBE
Structure: relaxed

Cell lengths 4.578, 5.100, 4.578 Å; angles 90.00, 90.00, 90.00 degrees
Site moments in Bohr magnetons follow the coordinates.
Positions (direct):
1 Ge 0.500 0.000 0.000  -0.03
2 Na 0.000 0.500 0.000  -0.01
3 Fe 0.000 0.000 0.000  0.57
4 Ge 0.000 0.000 0.500  0.01
5 Ba 0.500 0.500 0.500  0.03

formation enthalpy at 0 K	-73	meV per atom
space-group type	No. 123
magnetization	0.62	μB/f.u.